Record 1
Au2F13 | PBE | optimized geometry

Cell and atoms, written as POSCAR:
```
Au2F13
1.0
-3.8744 2.2231 2.2929
-3.0528 -4.5905 -3.8676
2.3970 -2.3540 6.9756
Au F
2 13
Cartesian
-4.0451 -3.7771 3.6507
-0.4851 -0.9443 1.7503
-3.9546 -1.3512 -0.3036
-0.5756 -3.3702 5.7045
0.0000 0.0000 0.0000
-1.9770 -5.3355 1.2060
-2.5532 0.6141 4.1950
-3.5246 -2.2231 4.6785
-1.0057 -2.4983 0.7224
-3.5826 -2.8950 2.0249
-0.9477 -1.8264 3.3761
-2.2505 -4.4717 3.8220
-2.2798 -0.2497 1.5790
-1.5274 -0.7690 6.5484
-3.0028 -3.9524 -1.1474
```

final energy = -2.67 eV per atom
size of the total moment = 1.1 μB per formula unit

***

Record 2
Sc3WC3 | PBE | optimized geometry

Cell and atoms, written as POSCAR:
```
Sc3WC3
1.0
4.7458 0.0000 0.0000
0.0000 6.3979 -0.9466
0.0000 0.2755 6.4616
Sc W C
6 2 6
Cartesian
3.5594 4.1440 4.9166
3.5594 0.9542 5.6404
3.5594 1.0641 2.3714
1.1865 2.5294 0.5985
1.1865 5.7191 -0.1254
1.1865 5.6093 3.1436
1.1865 2.2855 4.0294
3.5594 4.3879 1.4856
1.1865 4.0989 4.9028
1.1865 1.0509 5.5234
1.1865 1.0861 2.4130
3.5594 2.5744 0.6123
3.5594 5.6224 -0.0083
3.5594 5.5873 3.1020
```

final energy = -8.93 eV per atom
size of the total moment = 0.0 μB per formula unit

***

Record 3
Tl3HgBi2 | PBE | optimized geometry

Cell and atoms, written as POSCAR:
```
Tl3HgBi2
1.0
-0.0504 5.9117 -2.7676
-9.0676 1.2015 2.7315
8.8104 1.6194 3.2986
Tl Hg Bi
6 2 4
Cartesian
-6.5105 5.6959 0.7381
6.2029 3.0367 2.5243
-3.1616 5.0719 -0.6554
2.8540 3.6607 3.9178
-3.2894 6.4736 2.3399
2.9818 2.2590 0.9225
2.6938 5.9111 1.0300
-3.0013 2.8215 2.2324
-0.1153 6.6218 -1.2495
-0.2178 5.0666 3.1281
-0.1923 2.1108 4.5119
-0.0898 3.6660 0.1343
```

size of the total moment = 0.0 μB per formula unit
energy above the most stable polymorph in this dataset = 0.24 eV per formula unit

***

Record 4
Y3Ta | PBE | optimized geometry

Cell and atoms, written as POSCAR:
```
Y3Ta
1.0
-5.3184 -2.8840 0.1738
0.2904 -0.1713 6.0431
-2.8746 5.3185 0.2889
Y Ta
6 2
Cartesian
-1.3647 2.6164 1.6552
-1.2195 2.5307 4.6768
-1.1844 -0.8066 3.0650
-3.3778 -0.1124 0.1591
-4.8151 2.5469 0.3036
-3.8436 -2.2486 3.1519
0.0000 0.0000 0.0000
-3.9513 1.1316 3.2529
```

size of the total moment = 0.0 μB per formula unit
energy above the most stable polymorph in this dataset = 1.14 eV per formula unit

***

Record 5
Ce2ZnP2O | PBE | optimized geometry

Cell and atoms, written as POSCAR:
```
Ce2ZnP2O
1.0
-1.7062 0.2463 2.5839
-0.3525 -3.0856 0.0613
11.7194 -1.1829 7.8514
Ce Zn P O
2 1 2 1
Cartesian
6.5454 -2.1842 6.3974
3.1152 -1.8379 4.0993
-1.0294 -1.4196 1.3226
0.8275 -1.6070 2.5666
8.8331 -2.4151 7.9300
4.8303 -2.0111 5.2483
```

final energy = -5.13 eV per atom
size of the total moment = 0.0 μB per formula unit

***

Record 6
Sm5ZrSb4 | PBE | optimized geometry

Cell and atoms, written as POSCAR:
```
Sm5ZrSb4
1.0
4.2851 0.0000 0.0000
0.0000 8.4118 -0.5682
-2.1425 -1.7997 9.1854
Sm Zr Sb
5 1 4
Cartesian
2.1425 4.2728 5.6190
2.1425 0.3021 6.0201
0.0000 6.3100 2.5971
2.1425 4.2059 -0.2841
0.0000 2.3393 2.9981
2.1425 0.0000 0.0000
0.0000 6.4972 5.6643
2.1425 4.5919 8.6759
2.1425 0.1148 2.9529
0.0000 2.0202 -0.0587
```

final energy = -5.55 eV per atom
size of the total moment = 0.0 μB per formula unit

***

Record 7
ZrBeRuPt | PBE | optimized geometry

Cell and atoms, written as POSCAR:
```
ZrBeRuPt
1.0
4.4075 0.0000 0.0000
2.2037 3.8170 0.0000
2.2037 1.2723 3.5987
Ru Zr Pt Be
1 1 1 1
Cartesian
2.2037 1.2723 0.8997
0.0000 0.0000 0.0000
6.6112 3.8170 2.6990
4.4075 2.5446 1.7993
```

final energy = -7.45 eV per atom
size of the total moment = 0.0 μB per formula unit

***

Record 8
ZrPaPd2 | PBE | optimized geometry

Cell and atoms, written as POSCAR:
```
ZrPaPd2
1.0
4.8695 0.0000 0.0000
2.4347 4.2171 0.0000
2.4347 1.4057 3.9759
Pa Zr Pd
1 1 2
Cartesian
0.0000 0.0000 0.0000
4.8695 2.8114 1.9879
2.4347 1.4057 0.9940
7.3042 4.2171 2.9819
```

size of the total moment = 0.8 μB per formula unit
energy above the most stable polymorph in this dataset = 0.25 eV per formula unit

***

| no. | theoretical density (kg/m³) |
| --- | --- |
| 1 | 4672 |
| 2 | 5967 |
| 3 | 10514 |
| 4 | 6706 |
| 5 | 5150 |
| 6 | 6760 |
| 7 | 10872 |
| 8 | 10883 |